No. 1
! ZnCd2Si, optimized geometry, DFT PBE-GGA; values from VASP
&SYSTEM
  ibrav = 0, nat = 4, ntyp = 3
/
ATOMIC_SPECIES
Cd 112.41 Cd.upf
Zn 65.41 Zn.upf
Si 28.09 Si.upf
ATOMIC_POSITIONS crystal
Cd 0.2500 0.2500 0.2500
Cd 0.7500 0.7500 0.7500
Zn 0.5000 0.5000 0.5000
Si 0.0000 0.0000 0.0000
CELL_PARAMETERS angstrom
-4.1411 -1.5736 1.9214
-4.1590 2.1931 -1.0999
-3.2515 -2.2431 -2.7772
! - energy above the lowest structure with this stoichiometry (meV per atom) = 118


No. 2
! GeHI, optimized geometry, DFT PBE-GGA; values from VASP
&SYSTEM
  ibrav = 0, nat = 6, ntyp = 3
/
ATOMIC_SPECIES
Ge 72.64 Ge.upf
H 1.01 H.upf
I 126.90 I.upf
ATOMIC_POSITIONS crystal
Ge 0.0927 0.1855 0.2602
Ge 0.9073 0.8145 0.7398
H 0.9020 0.8040 0.9140
H 0.0980 0.1960 0.0860
I 0.7630 0.5261 0.2754
I 0.2370 0.4739 0.7246
CELL_PARAMETERS angstrom
-1.3369 1.7907 -3.3410
-4.6316 -2.7832 2.7795
-1.2128 7.8144 4.6738
! - energy above the lowest structure with this stoichiometry (meV per atom) = 112


No. 3
! Sm8Sn2Pd, optimized geometry, DFT PBE-GGA; values from VASP
&SYSTEM
  ibrav = 0, nat = 11, ntyp = 3
/
ATOMIC_SPECIES
Sm 150.36 Sm.upf
Pd 106.42 Pd.upf
Sn 118.71 Sn.upf
ATOMIC_POSITIONS crystal
Sm 0.4074 0.5255 0.8149
Sm 0.6488 0.0000 0.2977
Sm 0.2157 0.3209 0.4314
Sm 0.5926 0.4745 0.1851
Sm 0.9828 0.2212 0.9656
Sm 0.0172 0.7788 0.0344
Sm 0.7843 0.6791 0.5686
Sm 0.3512 0.0000 0.7023
Pd 0.5000 0.0000 0.0000
Sn 0.8180 0.2421 0.6361
Sn 0.1820 0.7579 0.3639
CELL_PARAMETERS angstrom
5.0610 0.0000 0.0000
0.0000 6.8978 0.1820
-2.5305 -2.6591 9.4159
! - DFT formation energy (meV/atom) = -426


No. 4
! CePmGaHg, optimized geometry, DFT PBE-GGA; values from VASP
&SYSTEM
  ibrav = 0, nat = 4, ntyp = 4
/
ATOMIC_SPECIES
Hg 200.59 Hg.upf
Ce 140.12 Ce.upf
Pm 145.00 Pm.upf
Ga 69.72 Ga.upf
ATOMIC_POSITIONS crystal
Hg 0.5000 0.5000 0.1096
Ce 0.0000 0.0000 0.8410
Pm 0.0000 0.0000 0.3711
Ga 0.5000 0.5000 0.6062
CELL_PARAMETERS angstrom
-1.9537 2.5760 -1.3221
-2.8764 -1.5434 1.2431
0.7996 4.2893 7.1757
! - DFT formation energy (meV/atom) = -450
! - energy above the lowest structure with this stoichiometry (meV per atom) = 0